The following is a PBE-GGA calculation of crystalline Er2ScTe2 at its relaxed geometry, from the Alexandria database.

Geometry as POSCAR:
```
Er2ScTe2
1.0
2.010 -9.058 0.000
2.010 9.058 0.000
0.000 0.000 7.519
Er Sc Te
4 2 4
Direct
0.024 0.976 0.500
0.189 0.811 0.844
0.811 0.189 0.344
0.976 0.024 0.000
0.389 0.611 0.681
0.611 0.389 0.181
0.186 0.814 0.422
0.438 0.562 0.289
0.562 0.438 0.789
0.814 0.186 0.922
```

Calculated values
- E_form (uncorrected): -4.40 eV/f.u.
- VASP energy: -5.23 eV/atom
- Energy above the most stable polymorph in this dataset: 0 meV/atom
- Total magnetic moment: 0.00 μB/f.u.
- Space group: Cmc2_1

The following is a PBE-GGA calculation of crystalline Er2ScTe at its relaxed geometry, from the Alexandria database.

Geometry as POSCAR:
```
Er2ScTe
1.0
6.888 -1.917 0.000
6.888 1.917 0.000
-6.083 0.000 8.487
Er Sc Te
4 2 2
Direct
0.123 0.123 0.179
0.123 0.123 0.703
0.877 0.877 0.297
0.877 0.877 0.821
0.360 0.360 0.542
0.640 0.640 0.458
0.408 0.408 0.085
0.592 0.592 0.915
```

Calculated values
- E_form (uncorrected): -2.22 eV/f.u.
- VASP energy: -5.20 eV/atom
- Energy above the most stable polymorph in this dataset: 0 meV/atom
- Total magnetic moment: 0.00 μB/f.u.
- Space group: C2/m

The following is a PBE-GGA calculation of crystalline ErScTe2 at its relaxed geometry, from the Alexandria database.

Geometry as POSCAR:
```
ErScTe2
1.0
5.231 0.000 0.000
0.000 5.231 0.000
0.000 0.000 3.706
Er Sc Te
1 1 2
Direct
0.000 0.000 0.000
0.500 0.500 0.000
0.000 0.500 0.500
0.500 0.000 0.500
```

Calculated values
- E_form (uncorrected): -4.04 eV/f.u.
- VASP energy: -5.31 eV/atom
- Energy above the most stable polymorph in this dataset: 181 meV/atom
- Total magnetic moment: 1.28 μB/f.u.
- Space group: P4/mmm

The following is a PBE-GGA calculation of crystalline Er4Sc5Te2 at its relaxed geometry, from the Alexandria database.

Geometry as POSCAR:
```
Er4Sc5Te2
1.0
4.250 -2.452 0.000
4.250 2.452 0.000
-2.830 0.000 15.402
Er Sc Te
4 5 2
Direct
0.069 0.069 0.210
0.222 0.222 0.666
0.778 0.778 0.334
0.931 0.931 0.790
0.000 0.000 0.000
0.148 0.148 0.444
0.305 0.305 0.915
0.695 0.695 0.085
0.852 0.852 0.556
0.370 0.370 0.110
0.630 0.630 0.890
```

Calculated values
- E_form (uncorrected): 0.64 eV/f.u.
- VASP energy: -5.05 eV/atom
- Total magnetic moment: 0.00 μB/f.u.
- Space group: C2/m

The following is a PBE-GGA calculation of crystalline Er3Sc4Te4 at its relaxed geometry, from the Alexandria database.

Geometry as POSCAR:
```
Er3Sc4Te4
1.0
-1.937 4.373 8.252
1.937 -4.373 8.252
1.937 4.373 -8.252
Er Sc Te
3 4 4
Direct
0.000 0.000 0.000
0.393 0.893 0.500
0.607 0.107 0.500
0.020 0.331 0.689
0.358 0.669 0.689
0.642 0.331 0.311
0.980 0.669 0.311
0.252 0.252 0.000
0.295 0.500 0.795
0.705 0.500 0.205
0.748 0.748 0.000
```

Calculated values
- E_form (uncorrected): -9.23 eV/f.u.
- VASP energy: -5.53 eV/atom
- Total magnetic moment: 0.00 μB/f.u.
- Space group: Immm

The following is a PBE-GGA calculation of crystalline Er4ScTe5 at its relaxed geometry, from the Alexandria database.

Geometry as POSCAR:
```
Er4ScTe5
1.0
-2.107 2.107 15.763
2.107 -2.107 15.763
2.107 2.107 -15.763
Er Sc Te
4 1 5
Direct
0.109 0.109 0.000
0.314 0.314 0.000
0.686 0.686 0.000
0.891 0.891 0.000
0.500 0.500 0.000
0.000 0.000 0.000
0.208 0.208 0.000
0.409 0.409 0.000
0.591 0.591 0.000
0.792 0.792 0.000
```

Calculated values
- E_form (uncorrected): -11.92 eV/f.u.
- VASP energy: -5.22 eV/atom
- Energy above the most stable polymorph in this dataset: 0 meV/atom
- Total magnetic moment: 0.00 μB/f.u.
- Space group: I4/mmm

The following is a PBE-GGA calculation of crystalline ErSc3Tl3Te8 at its relaxed geometry, from the Alexandria database.

Geometry as POSCAR:
```
ErSc3Tl3Te8
1.0
7.335 -4.223 0.000
7.335 4.223 0.000
-4.901 0.000 8.130
Er Sc Tl Te
1 3 3 8
Direct
0.000 0.000 0.000
0.000 0.500 0.000
0.500 0.000 0.000
0.500 0.500 0.000
0.000 0.000 0.500
0.000 0.500 0.500
0.500 0.000 0.500
0.243 0.243 0.210
0.243 0.724 0.210
0.265 0.265 0.796
0.276 0.757 0.790
0.724 0.243 0.210
0.735 0.735 0.204
0.757 0.276 0.790
0.757 0.757 0.790
```

Calculated values
- E_form (uncorrected): -14.41 eV/f.u.
- VASP energy: -4.68 eV/atom
- Total magnetic moment: 0.00 μB/f.u.
- Space group: C2/m

The following is a PBE-GGA calculation of crystalline Er3ScTl3Te8 at its relaxed geometry, from the Alexandria database.

Geometry as POSCAR:
```
Er3ScTl3Te8
1.0
7.490 -4.328 0.000
7.490 4.328 0.000
-4.990 0.000 8.220
Er Sc Tl Te
3 1 3 8
Direct
0.000 0.000 0.000
0.000 0.500 0.000
0.500 0.000 0.000
0.500 0.500 0.000
0.000 0.500 0.500
0.500 0.000 0.500
0.500 0.500 0.500
0.238 0.238 0.215
0.245 0.732 0.208
0.268 0.268 0.792
0.268 0.755 0.792
0.732 0.245 0.208
0.732 0.732 0.208
0.755 0.268 0.792
0.762 0.762 0.785
```

Calculated values
- E_form (uncorrected): -15.20 eV/f.u.
- VASP energy: -4.50 eV/atom
- Total magnetic moment: 0.00 μB/f.u.
- Space group: C2/m

The following is a PBE-GGA calculation of crystalline Er2TmSc3Te6 at its relaxed geometry, from the Alexandria database.

Geometry as POSCAR:
```
Er2TmSc3Te6
1.0
9.242 -2.118 0.000
9.242 2.118 0.000
-1.946 0.000 8.273
Er Tm Sc Te
2 1 3 6
Direct
0.167 0.167 0.334
0.833 0.833 0.666
0.500 0.500 0.000
0.168 0.168 0.833
0.500 0.500 0.500
0.832 0.832 0.167
0.003 0.003 0.745
0.332 0.332 0.924
0.336 0.336 0.411
0.664 0.664 0.589
0.668 0.668 0.076
0.997 0.997 0.255
```

Calculated values
- E_form (uncorrected): -13.79 eV/f.u.
- VASP energy: -5.44 eV/atom
- Total magnetic moment: 0.00 μB/f.u.
- Space group: C2/m

The following is a PBE-GGA calculation of crystalline Er2Tm3ScTe6 at its relaxed geometry, from the Alexandria database.

Geometry as POSCAR:
```
Er2Tm3ScTe6
1.0
9.340 -2.137 0.000
9.340 2.137 0.000
-1.972 0.000 8.377
Er Tm Sc Te
2 3 1 6
Direct
0.167 0.167 0.333
0.833 0.833 0.667
0.171 0.171 0.836
0.500 0.500 0.500
0.829 0.829 0.164
0.500 0.500 0.000
0.002 0.002 0.757
0.334 0.334 0.416
0.338 0.338 0.920
0.662 0.662 0.080
0.666 0.666 0.584
0.998 0.998 0.243
```

Calculated values
- E_form (uncorrected): -14.03 eV/f.u.
- VASP energy: -5.15 eV/atom
- Total magnetic moment: 0.00 μB/f.u.
- Space group: C2/m

The following is a PBE-GGA calculation of crystalline ErTm2Sc3Te6 at its relaxed geometry, from the Alexandria database.

Geometry as POSCAR:
```
ErTm2Sc3Te6
1.0
9.235 -2.117 0.000
9.235 2.117 0.000
-1.947 0.000 8.269
Er Tm Sc Te
1 2 3 6
Direct
0.000 0.000 0.000
0.334 0.334 0.668
0.666 0.666 0.332
0.000 0.000 0.500
0.334 0.334 0.166
0.666 0.666 0.834
0.165 0.165 0.589
0.170 0.170 0.079
0.498 0.498 0.257
0.502 0.502 0.743
0.830 0.830 0.921
0.835 0.835 0.411
```

Calculated values
- E_form (uncorrected): -13.71 eV/f.u.
- VASP energy: -5.42 eV/atom
- Total magnetic moment: 0.00 μB/f.u.
- Space group: C2/m

The following is a PBE-GGA calculation of crystalline ErTmScTe at its relaxed geometry, from the Alexandria database.

Geometry as POSCAR:
```
ErTmScTe
1.0
3.757 0.000 0.000
0.000 3.757 0.000
0.000 0.000 7.598
Er Tm Sc Te
1 1 1 1
Direct
0.000 0.000 0.000
0.500 0.500 0.287
0.500 0.500 0.738
0.000 0.000 0.544
```

Calculated values
- E_form (uncorrected): -2.06 eV/f.u.
- VASP energy: -5.14 eV/atom
- Total magnetic moment: 0.00 μB/f.u.
- Space group: P4mm

no.,V (Å³/cell)
1,274
2,224
3,101
4,321
5,280
6,280
7,504
8,533
9,324
10,334
11,323
12,107